YHfPa: relaxed, PBE.

Summary:
The polymorph energy (0 for the lowest one) comes out at 0.0 meV/atom. The size of the total moment is 0.00 μB per cell. The value obtained for the density of states at the Fermi level is 1.9492 states/eV/atom. The energy of formation from the pure elements comes out at 0.189 eV per atom.

Unit cell a=3.225 b=3.225 c=15.121 alpha=90.00 beta=90.00 gamma=90.00
Space group I4mm (No. 107)
Inequivalent atoms, fractional coordinates:
Y  0.000  0.000  0.000 x2
Hf  0.000  0.000  0.670 x2
Pa  0.000  0.000  0.322 x2



YHfPa: relaxed, PBE.

Summary:
The polymorph energy (0 for the lowest one) comes out at 62.9 meV/atom. The size of the total moment is 0.00 μB per cell. The value obtained for the density of states at the Fermi level is 1.3957 states/eV/atom. The energy of formation from the pure elements comes out at 0.252 eV per atom.

Unit cell a=5.2382 b=5.2382 c=3.2989 alpha=90.00 beta=90.00 gamma=120.00
Space group P-6m2 (No. 187)
Inequivalent atoms, fractional coordinates:
Y  0.0000  0.0000  0.0000 x1
Hf  0.3333  0.6667  0.5000 x1
Pa  0.6667  0.3333  0.5000 x1



YHfPa2: relaxed, PBE.

Summary:
The size of the total moment is 0.00 μB per cell. The value obtained for the density of states at the Fermi level is 1.8541 states/eV/atom. The energy of formation from the pure elements comes out at 0.271 eV per atom.

Unit cell a=3.1671 b=3.1671 c=35.6918 alpha=90.00 beta=90.00 gamma=120.00
Space group R-3m (No. 166, hexagonal axes)
Inequivalent atoms, fractional coordinates:
Y  0.0000  0.0000  0.0000 x3
Hf  0.0000  0.0000  0.5000 x3
Pa  0.0000  0.0000  0.0889 x6



HfPa2Zn: relaxed, PBE.

Summary:
The polymorph energy (0 for the lowest one) comes out at 188.0 meV/atom. The size of the total moment is 0.00 μB per cell. The value obtained for the density of states at the Fermi level is 2.1472 states/eV/atom. The energy of formation from the pure elements comes out at 0.223 eV per atom.

Unit cell a=3.784 b=3.784 c=6.459 alpha=90.00 beta=90.00 gamma=90.00
Space group P4/mmm (No. 123)
Inequivalent atoms, fractional coordinates:
Hf  0.000  0.000  0.000 x1
Pa  0.500  0.500  0.280 x2
Zn  0.000  0.000  0.500 x1



HfPaZn2: relaxed, PBE.

Summary:
The polymorph energy (0 for the lowest one) comes out at 148.4 meV/atom. The size of the total moment is 0.00 μB per cell. The value obtained for the density of states at the Fermi level is 1.2365 states/eV/atom. The energy of formation from the pure elements comes out at 0.058 eV per atom.

Unit cell a=4.282 b=4.282 c=4.355 alpha=90.00 beta=90.00 gamma=90.00
Space group P4/mmm (No. 123)
Inequivalent atoms, fractional coordinates:
Hf  0.000  0.000  0.000 x1
Pa  0.500  0.500  0.000 x1
Zn  0.000  0.500  0.500 x2



HfPaZn2: relaxed, PBE.

Summary:
The polymorph energy (0 for the lowest one) comes out at 118.6 meV/atom. The size of the total moment is 0.00 μB per cell. The value obtained for the density of states at the Fermi level is 1.2370 states/eV/atom. The energy of formation from the pure elements comes out at 0.028 eV per atom.

Unit cell a=3.0564 b=3.0564 c=29.8516 alpha=90.00 beta=90.00 gamma=120.00
Space group R-3m (No. 166, hexagonal axes)
Inequivalent atoms, fractional coordinates:
Hf  0.0000  0.0000  0.0000 x3
Pa  0.0000  0.0000  0.5000 x3
Zn  0.0000  0.0000  0.2542 x6



HfPaZn2: relaxed, PBE.

Summary:
The polymorph energy (0 for the lowest one) comes out at 0.0 meV/atom. The size of the total moment is 0.16 μB per cell. The value obtained for the density of states at the Fermi level is 1.2374 states/eV/atom. The energy of formation from the pure elements comes out at -0.090 eV per atom.

Unit cell a=3.054 b=3.054 c=8.292 alpha=90.00 beta=90.00 gamma=90.00
Space group P4/mmm (No. 123)
Inequivalent atoms, fractional coordinates:
Hf  0.000  0.000  0.000 x1
Pa  0.000  0.000  0.500 x1
Zn  0.500  0.500  0.232 x2



Hf2PaZn: relaxed, PBE.

Summary:
The polymorph energy (0 for the lowest one) comes out at 70.9 meV/atom. The size of the total moment is 0.00 μB per cell. The value obtained for the density of states at the Fermi level is 1.4423 states/eV/atom. The energy of formation from the pure elements comes out at 0.042 eV per atom.

Unit cell a=4.520 b=4.520 c=4.133 alpha=90.00 beta=90.00 gamma=90.00
Space group P4/mmm (No. 123)
Inequivalent atoms, fractional coordinates:
Hf  0.000  0.500  0.000 x2
Pa  0.000  0.000  0.500 x1
Zn  0.500  0.500  0.500 x1